DFT (PBE-GGA) results for a geometry-optimized Cu3Ag structure.

Cell lengths 5.367, 3.738, 5.934 Å; angles 90.00, 116.08, 90.00 degrees
Element x y z (fractional)
Cu 0.574 0.250 0.872
Cu 0.063 0.250 0.891
Cu 0.311 0.250 0.366
Cu 0.426 0.750 0.128
Cu 0.689 0.750 0.634
Cu 0.937 0.750 0.109
Ag 0.199 0.750 0.634
Ag 0.801 0.250 0.366

Calculated values
Its uncorrected energy is -3.42 eV per atom. The value obtained for the energy relative to the elements is 78 meV per atom.

=====

DFT (PBE-GGA) results for a geometry-optimized LiHf2Ga2CoIr2 structure.

Cell lengths 4.406, 4.406, 6.271 Å; angles 90.00, 90.00, 90.00 degrees
Last column: magnetic moment on the atom in μB.
Element x y z (fractional)
Hf 0.500 0.000 0.246  -0.03
Hf 0.000 0.500 0.754  -0.03
Ir 0.000 0.000 0.500  0.05
Ir 0.500 0.500 0.000  0.12
Co 0.000 0.000 0.000  0.98
Ga 0.000 0.500 0.251  0.00
Ga 0.500 0.000 0.749  0.00
Li 0.500 0.500 0.500  0.00

Calculated values
The calculation puts the magnetic moment at 1.0 μB per formula unit. Its uncorrected energy is -7.24 eV per atom.